Computed, not measured: a geometry-optimized Er2Zn3In3 structure at the PBE level of DFT.

volume: 171.95 Å³/f.u.
formation energy from the elements: -0.31 eV per atom

```
data_Er2Zn3In3
_chemical_formula_sum 'Er2 Zn3 In3'
_cell_length_a 4.3815
_cell_length_b 4.4265
_cell_length_c 8.8658
_cell_angle_alpha 90.00
_cell_angle_beta 90.00
_cell_angle_gamma 90.00
_space_group_name_H-M_alt 'P m m m'
_space_group_IT_number 47
_space_group_name_Hall '-P 2 2'
loop_
_atom_site_label
_atom_site_fract_x
_atom_site_fract_y
_atom_site_fract_z
_atom_site_occupancy
Er1 0.0000 0.0000 0.2442 1
Zn1 0.5000 0.0000 0.0000 1
Zn2 0.5000 0.5000 0.2382 1
In1 0.0000 0.5000 0.0000 1
In2 0.0000 0.5000 0.5000 1
In3 0.5000 0.0000 0.5000 1
```